Record 1
A plane-wave DFT calculation with SCAN was carried out for TcNiRh2 at its PBEsol-relaxed geometry.

Unit cell a=2.658 b=2.658 c=7.294 alpha=90.00 beta=90.00 gamma=90.00
Positions (direct):
Tc: 0.000 0.000 0.000
Ni: 0.000 0.000 0.500
Rh: 0.500 0.500 0.255
Rh: 0.500 0.500 0.745

Summary:
Total energy   -29.736 eV per atom
Magnetization   1.10 μB per cell
Energy of formation from the pure elements   -0.0420 eV per atom
Excess energy over the best structure of this formula in the dataset   17 meV per atom


Record 2
A plane-wave DFT calculation with SCAN was carried out for TcNi2Rh at its PBEsol-relaxed geometry.

Unit cell a=4.486 b=4.486 c=4.391 alpha=100.10 beta=100.10 gamma=33.71
Positions (direct):
Tc: 0.000 0.000 0.000
Ni: 0.250 0.250 0.745
Ni: 0.504 0.504 0.513
Rh: 0.754 0.754 0.248

Summary:
Total energy   -25.276 eV per atom
Magnetization   0.00 μB per cell
Energy of formation from the pure elements   0.0189 eV per atom
Excess energy over the best structure of this formula in the dataset   32 meV per atom


Record 3
A plane-wave DFT calculation with SCAN was carried out for TcNi2Rh at its PBEsol-relaxed geometry.

Unit cell a=4.112 b=4.112 c=4.112 alpha=60.00 beta=60.00 gamma=60.00
Positions (direct):
Tc: 0.000 0.000 0.000
Ni: 0.500 0.500 0.500
Ni: 0.750 0.750 0.750
Rh: 0.250 0.250 0.250

Summary:
Total energy   -25.051 eV per atom
Magnetization   0.00 μB per cell
Energy of formation from the pure elements   0.2431 eV per atom
Excess energy over the best structure of this formula in the dataset   256 meV per atom


Record 4
A plane-wave DFT calculation with SCAN was carried out for TcNi2Rh at its PBEsol-relaxed geometry.

Unit cell a=4.247 b=4.247 c=2.681 alpha=90.00 beta=90.00 gamma=90.00
Positions (direct):
Tc: 0.000 0.000 0.000
Ni: 0.000 0.500 0.500
Ni: 0.500 0.000 0.500
Rh: 0.500 0.500 0.000

Summary:
Total energy   -25.119 eV per atom
Magnetization   0.00 μB per cell
Energy of formation from the pure elements   0.1759 eV per atom
Excess energy over the best structure of this formula in the dataset   189 meV per atom


Record 5
A plane-wave DFT calculation with SCAN was carried out for TcNiRh2 at its PBEsol-relaxed geometry.

Unit cell a=2.645 b=2.645 c=7.343 alpha=90.00 beta=90.00 gamma=90.00
Positions (direct):
Tc: 0.000 0.000 0.000
Ni: 0.500 0.500 0.235
Rh: 0.000 0.000 0.477
Rh: 0.500 0.500 0.741

Summary:
Total energy   -29.677 eV per atom
Magnetization   0.00 μB per cell
Energy of formation from the pure elements   0.0170 eV per atom
Excess energy over the best structure of this formula in the dataset   76 meV per atom


Record 6
A plane-wave DFT calculation with SCAN was carried out for TcNi2Rh at its PBEsol-relaxed geometry.

Unit cell a=4.084 b=4.084 c=4.084 alpha=60.00 beta=60.00 gamma=60.00
Positions (direct):
Tc: 0.000 0.000 0.000
Ni: 0.250 0.250 0.250
Ni: 0.750 0.750 0.750
Rh: 0.500 0.500 0.500

Summary:
Total energy   -25.139 eV per atom
Magnetization   0.00 μB per cell
Energy of formation from the pure elements   0.1559 eV per atom
Excess energy over the best structure of this formula in the dataset   169 meV per atom


Record 7
A plane-wave DFT calculation with SCAN was carried out for TcNiRh2 at its PBEsol-relaxed geometry.

Unit cell a=2.655 b=3.687 c=5.251 alpha=90.00 beta=90.00 gamma=90.00
Positions (direct):
Tc: 0.000 0.000 0.000
Ni: 0.000 0.000 0.500
Rh: 0.500 0.500 0.254
Rh: 0.500 0.500 0.746

Summary:
Total energy   -29.753 eV per atom
Magnetization   0.00 μB per cell
Energy of formation from the pure elements   -0.0586 eV per atom
Excess energy over the best structure of this formula in the dataset   0 meV per atom


Record 8
A plane-wave DFT calculation with SCAN was carried out for TcNi2Rh at its PBEsol-relaxed geometry.

Unit cell a=2.617 b=2.617 c=7.061 alpha=90.00 beta=90.00 gamma=90.00
Positions (direct):
Tc: 0.000 0.000 0.000
Ni: 0.000 0.000 0.477
Ni: 0.500 0.500 0.247
Rh: 0.500 0.500 0.732

Summary:
Total energy   -25.251 eV per atom
Magnetization   0.00 μB per cell
Energy of formation from the pure elements   0.0434 eV per atom
Excess energy over the best structure of this formula in the dataset   57 meV per atom